No. 1
The following is a PBE calculation of an optimized crystal structure of GaIN3, from Alexandria.

a b c (Å): 3.9397 3.9397 3.9397
angles (deg): 90.00 90.00 90.00
Last column: magnetic moment on the atom in μB.
Fractional coordinates of all 5 atoms:
I 0.5000 0.5000 0.5000  0.00
Ga 0.0000 0.0000 0.0000  0.01
N 0.0000 0.5000 0.0000  0.17
N 0.0000 0.0000 0.5000  0.16
N 0.5000 0.0000 0.0000  0.17

SG   No. 221
Energy   -4.018 eV per atom
M_tot   0.137 μB/atom

No. 2
The following is a PBE calculation of an optimized crystal structure of BaGdP2, from Alexandria.

a b c (Å): 4.2845 4.2845 7.6543
angles (deg): 73.75 73.75 60.00
Last column: magnetic moment on the atom in μB.
Fractional coordinates of all 4 atoms:
P 0.2647 0.2647 0.2058  -0.13
P 0.7353 0.7353 0.7942  -0.13
Gd 0.0000 0.0000 0.0000  6.94
Ba 0.5000 0.5000 0.5000  -0.02

SG   No. 166
E_form   -104.7 kJ/mol of atoms
Energy   -7.791 eV per atom
M_tot   1.608 μB/atom

No. 3
The following is a PBE calculation of an optimized crystal structure of ZnP3Se, from Alexandria.

a b c (Å): 4.6195 4.6195 4.6195
angles (deg): 90.00 90.00 90.00
Fractional coordinates of all 5 atoms:
P 0.0000 0.5000 0.0000
P 0.0000 0.0000 0.5000
P 0.5000 0.0000 0.0000
Zn 0.0000 0.0000 0.0000
Se 0.5000 0.5000 0.5000

SG   No. 221
Energy   -3.132 eV per atom
Energy above the lowest structure with this stoichiometry   0.0 meV/atom
M_tot   0.000 μB/atom

No. 4
The following is a PBE calculation of an optimized crystal structure of ReTcSn3, from Alexandria.

a b c (Å): 5.1604 5.1604 5.1604
angles (deg): 90.00 90.00 90.00
Last column: magnetic moment on the atom in μB.
Fractional coordinates of all 5 atoms:
Re 0.0000 0.0000 0.0000  0.26
Sn 0.0000 0.5000 0.0000  -0.02
Sn 0.0000 0.0000 0.5000  -0.03
Sn 0.5000 0.0000 0.0000  -0.01
Tc 0.5000 0.5000 0.5000  3.25

SG   No. 221
E_form   111.1 kJ/mol of atoms
Energy   -5.814 eV per atom
Energy above the lowest structure with this stoichiometry   0.0 meV/atom
M_tot   0.800 μB/atom